Run 1
An optimized crystal structure of MgCrF2. Source: the Alexandria database, functional GGA+U.

Output
Crystal system: trigonal
ρ (Mg/m³): 2.76

Lattice parameters (Å, degrees): 8.4254 8.4254 8.4254 21.25 21.25 21.25
Last column: nearest neighbours and their distance in Å.
Element x y z (fractional)
Mg 0.0000 0.0000 0.0000  6 F 2.02
Cr 0.5000 0.5000 0.5000  6 Cr 3.11, 2 F 3.18
F 0.3714 0.3714 0.3714  3 Mg 2.02
F 0.6286 0.6286 0.6286  3 Mg 2.02

---

Run 2
An optimized crystal structure of MgCrF2. Source: the Alexandria database, functional GGA+U.

Output
Crystal system: trigonal
ρ (Mg/m³): 2.87

Lattice parameters (Å, degrees): 6.4137 6.4137 6.4137 32.10 32.10 32.10
Last column: nearest neighbours and their distance in Å.
Element x y z (fractional)
Mg 0.0000 0.0000 0.0000  2 F 2.01
Cr 0.5000 0.5000 0.5000  6 F 2.29
F 0.1101 0.1101 0.1101  1 Mg 2.01
F 0.8899 0.8899 0.8899  1 Mg 2.01

---

run 1 is favored, and the nearest alternative lies 0.436 eV/atom above it.

---

Run 1
An optimized crystal structure of MgCr3F. Source: the Alexandria database, functional GGA+U.

Output
Crystal system: cubic
ρ (Mg/m³): 2.34

Lattice parameters (Å, degrees): 5.2093 5.2093 5.2093 90.00 90.00 90.00
Last column: nearest neighbours and their distance in Å.
Element x y z (fractional)
Mg 0.0000 0.0000 0.0000  6 Cr 2.60
Cr 0.0000 0.0000 0.5000  2 Mg 2.60
Cr 0.0000 0.5000 0.0000  2 Mg 2.60
Cr 0.5000 0.0000 0.0000  2 Mg 2.60
F 0.5000 0.5000 0.5000  12 Cr 3.68

---

Run 2
An optimized crystal structure of MgCr3F. Source: the Alexandria database, functional GGA+U.

Output
Crystal system: cubic
ρ (Mg/m³): 3.41

Lattice parameters (Å, degrees): 4.5964 4.5964 4.5964 90.00 90.00 90.00
Last column: nearest neighbours and their distance in Å.
Element x y z (fractional)
Mg 0.0000 0.0000 0.0000  12 Cr 3.25
Cr 0.0000 0.5000 0.5000  2 F 2.30
Cr 0.5000 0.0000 0.5000  2 F 2.30
Cr 0.5000 0.5000 0.0000  2 F 2.30
F 0.5000 0.5000 0.5000  6 Cr 2.30

---

run 2 is favored, and the nearest alternative lies 0.882 eV/atom above it.

---

Run 1
An optimized crystal structure of Mn2CrF8. Source: the Alexandria database, functional GGA+U.

Output
Crystal system: monoclinic
ρ (Mg/m³): 3.82

Lattice parameters (Å, degrees): 5.4276 5.4276 4.9079 101.92 101.92 78.05
Last column: nearest neighbours and their distance in Å.
Element x y z (fractional)
Mn 0.1811 0.1811 0.4483  5 F 1.97-2.17
Mn 0.8189 0.8189 0.5517  5 F 1.97-2.17
Cr 0.5000 0.5000 0.0000  6 F 1.93-1.97
F 0.0631 0.0631 0.7479  2 Mn 1.98-2.03
F 0.1775 0.5473 0.7299  1 Cr 1.97, 1 Mn 2.17
F 0.3378 0.3378 0.2128  1 Cr 1.93, 1 Mn 1.97
F 0.4527 0.8225 0.2701  1 Cr 1.97, 1 Mn 2.17
F 0.5473 0.1775 0.7299  1 Cr 1.97, 1 Mn 2.17
F 0.6622 0.6622 0.7872  1 Cr 1.93, 1 Mn 1.97
F 0.8225 0.4527 0.2701  1 Cr 1.97, 1 Mn 2.17
F 0.9369 0.9369 0.2521  2 Mn 1.98-2.03

---

Run 2
An optimized crystal structure of Mn2CrF8. Source: the Alexandria database, functional GGA+U.

Output
Crystal system: trigonal
ρ (Mg/m³): 3.69

Lattice parameters (Å, degrees): 6.3633 6.3633 4.0330 90.00 90.00 120.00
Last column: nearest neighbours and their distance in Å.
Element x y z (fractional)
Mn 0.3333 0.6667 0.2344  5 F 1.99-2.03
Mn 0.6667 0.3333 0.7656  5 F 1.99-2.03
Cr 0.0000 0.0000 0.0000  6 F 1.96
F 0.1532 0.3064 0.2450  1 Cr 1.96, 1 Mn 1.99
F 0.1532 0.8468 0.2450  1 Cr 1.96, 1 Mn 1.99
F 0.3064 0.1532 0.7550  1 Cr 1.96, 1 Mn 1.99
F 0.3333 0.6667 0.7366  2 Mn 2.01-2.03
F 0.6667 0.3333 0.2634  2 Mn 2.01-2.03
F 0.6936 0.8468 0.2450  1 Cr 1.96, 1 Mn 1.99
F 0.8468 0.1532 0.7550  1 Cr 1.96, 1 Mn 1.99
F 0.8468 0.6936 0.7550  1 Cr 1.96, 1 Mn 1.99

---

run 1 is favored, and the nearest alternative lies 0.031 eV/atom above it.

---

Run 1
An optimized crystal structure of Mn2CrF. Source: the Alexandria database, functional GGA+U.

Output
Crystal system: cubic
ρ (Mg/m³): 4.25

Lattice parameters (Å, degrees): 4.6390 4.6390 4.6390 60.00 60.00 60.00
Last column: nearest neighbours and their distance in Å.
Element x y z (fractional)
Mn 0.2500 0.2500 0.2500  4 Cr 2.84, 4 F 2.84
Mn 0.7500 0.7500 0.7500  4 Cr 2.84, 4 F 2.84
Cr 0.0000 0.0000 0.0000  8 Mn 2.84
F 0.5000 0.5000 0.5000  8 Mn 2.84

---

Run 2
An optimized crystal structure of Mn2CrF. Source: the Alexandria database, functional GGA+U.

Output
Crystal system: tetragonal
ρ (Mg/m³): 4.28

Lattice parameters (Å, degrees): 5.6911 5.6911 5.6911 106.27 106.27 116.08
Last column: nearest neighbours and their distance in Å.
Element x y z (fractional)
Mn 0.0589 0.6250 0.9339  2 F 2.25
Mn 0.3750 0.3089 0.4339  2 F 2.25
Mn 0.6911 0.1250 0.0661  2 F 2.25
Mn 0.8750 0.9411 0.5661  2 F 2.25
Cr 0.2500 0.7500 0.5000  8 Mn 2.85-3.10, 2 F 3.01
Cr 0.5000 0.5000 0.0000  8 Mn 2.85-3.10, 2 F 3.01
F 0.0000 0.0000 0.0000  4 Mn 2.25
F 0.7500 0.2500 0.5000  4 Mn 2.25

---

run 1 is favored, and the nearest alternative lies 0.125 eV/atom above it.

---

Run 1
An optimized crystal structure of MnCrNF2. Source: the Alexandria database, functional GGA+U.

Output
Crystal system: tetragonal
ρ (Mg/m³): 4.16

Lattice parameters (Å, degrees): 3.9930 3.9930 3.9795 90.00 90.00 90.00
Last column: nearest neighbours and their distance in Å.
Element x y z (fractional)
Mn 0.0000 0.0000 0.0000  2 N 1.99, 4 F 2.00
Cr 0.5000 0.5000 0.5000  8 F 2.82, 4 N 2.82
N 0.0000 0.0000 0.5000  2 Mn 1.99
F 0.0000 0.5000 0.0000  2 Mn 2.00
F 0.5000 0.0000 0.0000  2 Mn 2.00

---

Run 2
An optimized crystal structure of MnCrNF2. Source: the Alexandria database, functional GGA+U.

Output
Crystal system: tetragonal
ρ (Mg/m³): 4.28

Lattice parameters (Å, degrees): 3.8489 3.8489 4.1612 90.00 90.00 90.00
Last column: nearest neighbours and their distance in Å.
Element x y z (fractional)
Mn 0.0000 0.0000 0.0000  4 N 2.72, 8 F 2.83
Cr 0.5000 0.5000 0.5000  4 F 1.92, 2 N 2.08
N 0.5000 0.5000 0.0000  2 Cr 2.08
F 0.0000 0.5000 0.5000  2 Cr 1.92
F 0.5000 0.0000 0.5000  2 Cr 1.92

---

run 2 is favored, and the nearest alternative lies 0.141 eV/atom above it.

---

Run 1
An optimized crystal structure of Cr2MoF. Source: the Alexandria database, functional GGA+U.

Output
Crystal system: tetragonal
ρ (Mg/m³): 5.06

Lattice parameters (Å, degrees): 5.7327 5.7327 5.7327 106.27 106.27 116.09
Last column: nearest neighbours and their distance in Å.
Element x y z (fractional)
Cr 0.0483 0.1250 0.4233  2 F 2.23
Cr 0.3750 0.9517 0.0767  2 F 2.23
Cr 0.7017 0.6250 0.5767  2 F 2.23
Cr 0.8750 0.2983 0.9233  2 F 2.23
Mo 0.2500 0.7500 0.5000  8 Cr 2.93-3.09, 2 F 3.03
Mo 0.5000 0.5000 0.0000  8 Cr 2.93-3.09, 2 F 3.03
F 0.0000 0.0000 0.0000  4 Cr 2.23
F 0.7500 0.2500 0.5000  4 Cr 2.23

---

Run 2
An optimized crystal structure of Cr2MoF. Source: the Alexandria database, functional GGA+U.

Output
Crystal system: cubic
ρ (Mg/m³): 5.20

Lattice parameters (Å, degrees): 4.6235 4.6235 4.6235 60.00 60.00 60.00
Last column: nearest neighbours and their distance in Å.
Element x y z (fractional)
Cr 0.2500 0.2500 0.2500  4 F 2.83, 4 Mo 2.83
Cr 0.7500 0.7500 0.7500  4 F 2.83, 4 Mo 2.83
Mo 0.0000 0.0000 0.0000  8 Cr 2.83
F 0.5000 0.5000 0.5000  8 Cr 2.83

---

run 1 is favored, and the nearest alternative lies 0.229 eV/atom above it.

---

Run 1
An optimized crystal structure of CrMoN2F. Source: the Alexandria database, functional GGA+U.

Output
Crystal system: tetragonal
ρ (Mg/m³): 5.59

Lattice parameters (Å, degrees): 3.9277 3.9277 3.7555 90.00 90.00 90.00
Last column: nearest neighbours and their distance in Å.
Element x y z (fractional)
Cr 0.0000 0.0000 0.0000  2 F 1.88, 4 N 1.96
Mo 0.5000 0.5000 0.5000  8 N 2.72, 4 F 2.78
N 0.0000 0.5000 0.0000  2 Cr 1.96
N 0.5000 0.0000 0.0000  2 Cr 1.96
F 0.0000 0.0000 0.5000  2 Cr 1.88

---

Run 2
An optimized crystal structure of CrMoN2F. Source: the Alexandria database, functional GGA+U.

Output
Crystal system: tetragonal
ρ (Mg/m³): 4.87

Lattice parameters (Å, degrees): 4.0165 4.0165 4.1199 90.00 90.00 90.00
Last column: nearest neighbours and their distance in Å.
Element x y z (fractional)
Cr 0.0000 0.0000 0.0000  4 F 2.84, 8 N 2.88
Mo 0.5000 0.5000 0.5000  4 N 2.01, 2 F 2.06
N 0.0000 0.5000 0.5000  2 Mo 2.01
N 0.5000 0.0000 0.5000  2 Mo 2.01
F 0.5000 0.5000 0.0000  2 Mo 2.06

---

run 2 is favored, and the nearest alternative lies 0.144 eV/atom above it.

---

Run 1
An optimized crystal structure of TlCrMoF. Source: the Alexandria database, functional GGA+U.

Output
Crystal system: monoclinic
ρ (Mg/m³): 7.14

Lattice parameters (Å, degrees): 8.4909 8.4909 3.1574 100.16 100.16 22.69
Last column: nearest neighbours and their distance in Å.
Element x y z (fractional)
Tl 0.0000 0.0000 0.0000  4 Tl 3.16-3.34, 2 F 3.19, 4 Mo 3.24
Cr 0.7465 0.7465 0.7611  2 F 2.05-2.06
Mo 0.3608 0.3608 0.3687  4 Cr 2.96-2.97, 2 Mo 3.16, 4 Tl 3.24
F 0.6661 0.6661 0.1842  2 Cr 2.05-2.06

---

Run 2
An optimized crystal structure of TlCrMoF. Source: the Alexandria database, functional GGA+U.

Output
Crystal system: monoclinic
ρ (Mg/m³): 7.18

Lattice parameters (Å, degrees): 5.8715 5.8715 4.3025 110.89 110.89 38.69
Last column: nearest neighbours and their distance in Å.
Element x y z (fractional)
Tl 0.0000 0.0000 0.0000  4 Cr 2.92, 1 F 3.06, 2 Mo 3.08
Cr 0.5332 0.5332 0.5333  1 F 2.41
Mo 0.2668 0.2668 0.7760  2 F 2.17-2.18
F 0.2984 0.2984 0.3069  2 Mo 2.17-2.18, 1 Cr 2.41

---

Run 3
An optimized crystal structure of TlCrMoF. Source: the Alexandria database, functional GGA+U.

Output
Crystal system: triclinic
ρ (Mg/m³): 7.03

Lattice parameters (Å, degrees): 3.0898 3.2511 9.0558 82.56 81.40 78.66
Last column: nearest neighbours and their distance in Å.
Element x y z (fractional)
Tl 0.0000 0.0000 0.0000  4 Tl 3.09-3.25, 1 F 3.14, 2 Mo 3.25
Cr 0.8151 0.8589 0.5137  2 F 2.03
Mo 0.3989 0.4227 0.2864  4 Cr 2.85-3.19, 2 Mo 3.09
F 0.2553 0.8297 0.6614  2 Cr 2.03

---

run 1 is favored, and the nearest alternative lies 0.012 eV/atom above it.

---

Run 1
An optimized crystal structure of CrNF2. Source: the Alexandria database, functional GGA+U.

Output
Crystal system: cubic
ρ (Mg/m³): 4.15

Lattice parameters (Å, degrees): 3.8887 3.8887 3.8887 60.00 60.00 60.00
Last column: nearest neighbours and their distance in Å.
Element x y z (fractional)
Cr 0.0000 0.0000 0.0000  8 F 2.38
N 0.5000 0.5000 0.5000  8 F 2.38
F 0.2500 0.2500 0.2500  4 Cr 2.38, 4 N 2.38
F 0.7500 0.7500 0.7500  4 Cr 2.38, 4 N 2.38

---

Run 2
An optimized crystal structure of CrNF2. Source: the Alexandria database, functional GGA+U.

Output
Crystal system: trigonal
ρ (Mg/m³): 2.36

Lattice parameters (Å, degrees): 7.9314 7.9314 7.9314 24.12 24.12 24.12
Last column: nearest neighbours and their distance in Å.
Element x y z (fractional)
Cr 0.0000 0.0000 0.0000  2 F 1.83
N 0.5000 0.5000 0.5000  6 F 2.78
F 0.0793 0.0793 0.0793  1 Cr 1.83
F 0.9207 0.9207 0.9207  1 Cr 1.83

---

run 2 is favored, and the nearest alternative lies 0.174 eV/atom above it.

---

Run 1
An optimized crystal structure of NaCrNF2. Source: the Alexandria database, functional GGA+U.

Output
Crystal system: tetragonal
ρ (Mg/m³): 3.00

Lattice parameters (Å, degrees): 4.0070 4.0070 4.3753 90.00 90.00 90.00
Last column: nearest neighbours and their distance in Å.
Element x y z (fractional)
Na 0.0000 0.0000 0.0000  4 F 2.00, 2 N 2.19
Cr 0.5000 0.5000 0.5000  4 N 2.83, 8 F 2.97
N 0.0000 0.0000 0.5000  2 Na 2.19
F 0.0000 0.5000 0.0000  2 Na 2.00
F 0.5000 0.0000 0.0000  2 Na 2.00

---

Run 2
An optimized crystal structure of NaCrNF2. Source: the Alexandria database, functional GGA+U.

Output
Crystal system: tetragonal
ρ (Mg/m³): 3.39

Lattice parameters (Å, degrees): 4.0682 4.0682 3.7640 90.00 90.00 90.00
Last column: nearest neighbours and their distance in Å.
Element x y z (fractional)
Na 0.0000 0.0000 0.0000  8 F 2.77, 4 N 2.88
Cr 0.5000 0.5000 0.5000  2 N 1.88, 4 F 2.03
N 0.5000 0.5000 0.0000  2 Cr 1.88
F 0.0000 0.5000 0.5000  2 Cr 2.03
F 0.5000 0.0000 0.5000  2 Cr 2.03

---

run 2 is favored, and the nearest alternative lies 1.155 eV/atom above it.

---

Run 1
An optimized crystal structure of CrNiNF2. Source: the Alexandria database, functional GGA+U.

Output
Crystal system: tetragonal
ρ (Mg/m³): 4.60

Lattice parameters (Å, degrees): 3.7848 3.7848 4.1016 90.00 90.00 90.00
Last column: nearest neighbours and their distance in Å.
Element x y z (fractional)
Cr 0.0000 0.0000 0.0000  4 N 2.68, 8 F 2.79
Ni 0.5000 0.5000 0.5000  4 F 1.89, 2 N 2.05
N 0.5000 0.5000 0.0000  2 Ni 2.05
F 0.0000 0.5000 0.5000  2 Ni 1.89
F 0.5000 0.0000 0.5000  2 Ni 1.89

---

Run 2
An optimized crystal structure of CrNiNF2. Source: the Alexandria database, functional GGA+U.

Output
Crystal system: tetragonal
ρ (Mg/m³): 4.58

Lattice parameters (Å, degrees): 3.9165 3.9165 3.8485 90.00 90.00 90.00
Last column: nearest neighbours and their distance in Å.
Element x y z (fractional)
Cr 0.0000 0.0000 0.0000  2 N 1.92, 4 F 1.96
Ni 0.5000 0.5000 0.5000  8 F 2.75, 4 N 2.77
N 0.0000 0.0000 0.5000  2 Cr 1.92
F 0.0000 0.5000 0.0000  2 Cr 1.96
F 0.5000 0.0000 0.0000  2 Cr 1.96

---

run 2 is favored, and the nearest alternative lies 0.079 eV/atom above it.

---

Run 1
An optimized crystal structure of CrNiN2F. Source: the Alexandria database, functional GGA+U.

Output
Crystal system: tetragonal
ρ (Mg/m³): 4.77

Lattice parameters (Å, degrees): 3.7837 3.7837 3.8325 90.00 90.00 90.00
Last column: nearest neighbours and their distance in Å.
Element x y z (fractional)
Cr 0.0000 0.0000 0.0000  4 F 2.68, 8 N 2.69
Ni 0.5000 0.5000 0.5000  4 N 1.89, 2 F 1.92
N 0.0000 0.5000 0.5000  2 Ni 1.89
N 0.5000 0.0000 0.5000  2 Ni 1.89
F 0.5000 0.5000 0.0000  2 Ni 1.92

---

Run 2
An optimized crystal structure of CrNiN2F. Source: the Alexandria database, functional GGA+U.

Output
Crystal system: tetragonal
ρ (Mg/m³): 4.65

Lattice parameters (Å, degrees): 3.8443 3.8443 3.8074 90.00 90.00 90.00
Last column: nearest neighbours and their distance in Å.
Element x y z (fractional)
Cr 0.0000 0.0000 0.0000  2 F 1.90, 4 N 1.92
Ni 0.5000 0.5000 0.5000  8 N 2.71, 4 F 2.72
N 0.0000 0.5000 0.0000  2 Cr 1.92
N 0.5000 0.0000 0.0000  2 Cr 1.92
F 0.0000 0.0000 0.5000  2 Cr 1.90

---

run 2 is favored, and the nearest alternative lies 0.129 eV/atom above it.

---

Run 1
An optimized crystal structure of CrPbN2F. Source: the Alexandria database, functional GGA+U.

Output
Crystal system: tetragonal
ρ (Mg/m³): 7.89

Lattice parameters (Å, degrees): 4.0021 4.0021 4.0242 90.00 90.00 90.00
Last column: nearest neighbours and their distance in Å.
Element x y z (fractional)
Cr 0.0000 0.0000 0.0000  4 N 2.00, 2 F 2.01
Pb 0.5000 0.5000 0.5000  4 F 2.83, 8 N 2.84
N 0.0000 0.5000 0.0000  2 Cr 2.00
N 0.5000 0.0000 0.0000  2 Cr 2.00
F 0.0000 0.0000 0.5000  2 Cr 2.01

---

Run 2
An optimized crystal structure of CrPbN2F. Source: the Alexandria database, functional GGA+U.

Output
Crystal system: tetragonal
ρ (Mg/m³): 6.15

Lattice parameters (Å, degrees): 4.3388 4.3388 4.3915 90.00 90.00 90.00
Last column: nearest neighbours and their distance in Å.
Element x y z (fractional)
Cr 0.0000 0.0000 0.0000  4 F 3.07, 8 N 3.09
Pb 0.5000 0.5000 0.5000  4 N 2.17, 2 F 2.20
N 0.0000 0.5000 0.5000  2 Pb 2.17
N 0.5000 0.0000 0.5000  2 Pb 2.17
F 0.5000 0.5000 0.0000  2 Pb 2.20

---

run 1 is favored, and the nearest alternative lies 0.948 eV/atom above it.